Density functional theory data (PBE) for crystalline KSc2BeCo at its relaxed geometry.

Properties
The total moment comes out at 0.00 μB per formula unit. For the total DFT energy (no corrections), the calculation gives -4.104 eV per atom.

Cell lengths 4.760, 4.760, 5.834 Å; angles 90.00, 90.00, 90.00 degrees
Space group P4/mmm (No. 123)
One atom of each set of equivalent atoms:
K 0.000 0.000 0.000 [1 per cell]
Sc 0.000 0.500 0.500 [2 per cell]
Be 0.500 0.500 0.000 [1 per cell]
Co 0.000 0.000 0.500 [1 per cell]